A plane-wave DFT calculation with GGA-PBE was carried out for ErMgScCu after structural relaxation.

Unit cell a=3.3628 b=3.3628 c=7.8056 alpha=90.00 beta=90.00 gamma=90.00
With the nearest neighbours (Å) after each atom.
Atoms (fractional coordinates):
Er1 0.5000 0.5000 0.7821  4 Cu 2.98, 1 Sc 3.26
Mg1 0.0000 0.0000 0.0863  4 Sc 3.22, 4 Er 3.36, 4 Mg 3.36
Sc1 0.5000 0.5000 0.3645  4 Cu 2.79
Cu1 0.0000 0.0000 0.5518  4 Sc 2.79, 4 Er 2.98

## Properties
As for the distance to the lowest polymorph of the same formula: 0 meV/atom. As for the size of the total moment: 0.034 μB per formula unit. For the formation energy, the calculation gives -0.151 eV/atom. The space group is P4mm, No. 99.

=====

A plane-wave DFT calculation with GGA-PBE was carried out for ErMgSc2Cu4 after structural relaxation.

Unit cell a=4.6242 b=4.6242 c=8.0858 alpha=73.38 beta=73.38 gamma=60.00
With the nearest neighbours (Å) after each atom.
Atoms (fractional coordinates):
Er1 0.0000 0.0000 0.0000  8 Cu 2.86-2.87
Mg1 0.5000 0.5000 0.5000  8 Cu 2.77-2.84
Sc1 0.7541 0.7541 0.7376  8 Cu 2.77-3.05
Sc2 0.2459 0.2459 0.2624  8 Cu 2.77-3.05
Cu1 0.3791 0.3791 0.8628  1 Mg 2.77, 4 Sc 2.84-3.05, 3 Er 2.87
Cu2 0.8750 0.8750 0.3751  4 Sc 2.77-2.80, 3 Mg 2.84, 1 Er 2.86
Cu3 0.1250 0.1250 0.6249  4 Sc 2.77-2.80, 3 Mg 2.84, 1 Er 2.86
Cu4 0.6209 0.6209 0.1372  1 Mg 2.77, 4 Sc 2.84-3.05, 3 Er 2.87

## Properties
As for the size of the total moment: 0.000 μB per formula unit. For the formation energy, the calculation gives -0.224 eV/atom. The space group is R-3m, No. 166.

=====

A plane-wave DFT calculation with GGA-PBE was carried out for ErMgCuSi after structural relaxation.

Unit cell a=4.7075 b=4.7075 c=4.7075 alpha=60.00 beta=60.00 gamma=60.00
With the nearest neighbours (Å) after each atom.
Atoms (fractional coordinates):
Si1 0.2500 0.2500 0.2500  4 Mg 2.88, 4 Er 2.88
Mg1 0.5000 0.5000 0.5000  4 Cu 2.88, 4 Si 2.88
Cu1 0.7500 0.7500 0.7500  4 Er 2.88, 4 Mg 2.88
Er1 0.0000 0.0000 0.0000  4 Cu 2.88, 4 Si 2.88

## Properties
As for the size of the total moment: 0.000 μB per formula unit. The space group is F-43m, No. 216. The calculation puts the raw total energy at -0.3104 Ry/atom.

=====

A plane-wave DFT calculation with GGA-PBE was carried out for TbErMgCu after structural relaxation.

Unit cell a=5.1114 b=5.1114 c=5.1114 alpha=60.00 beta=60.00 gamma=60.00
With the nearest neighbours (Å) after each atom.
Atoms (fractional coordinates):
Mg1 0.7500 0.7500 0.7500  4 Tb 3.13, 4 Er 3.13
Tb1 0.0000 0.0000 0.0000  4 Cu 3.13, 4 Mg 3.13
Cu1 0.2500 0.2500 0.2500  4 Tb 3.13, 4 Er 3.13
Er1 0.5000 0.5000 0.5000  4 Mg 3.13, 4 Cu 3.13

## Properties
As for the distance to the lowest polymorph of the same formula: 84 meV/atom. As for the size of the total moment: 0.000 μB per formula unit. For the formation energy, the calculation gives -0.065 eV/atom. The space group is F-43m, No. 216.

=====

A plane-wave DFT calculation with GGA-PBE was carried out for TbErMgCu after structural relaxation.

Unit cell a=3.4735 b=3.4735 c=8.0124 alpha=90.00 beta=90.00 gamma=90.00
With the nearest neighbours (Å) after each atom.
Atoms (fractional coordinates):
Tb1 0.0000 0.0000 0.3950  4 Cu 3.02, 1 Er 3.37
Er1 0.0000 0.0000 0.8161  4 Cu 2.94
Mg1 0.5000 0.5000 0.1026  4 Er 3.36, 4 Tb 3.39, 4 Mg 3.47
Cu1 0.5000 0.5000 0.6143  4 Er 2.94, 4 Tb 3.02

## Properties
As for the distance to the lowest polymorph of the same formula: 0 meV/atom. As for the size of the total moment: 0.002 μB per formula unit. For the formation energy, the calculation gives -0.149 eV/atom. The space group is P4mm, No. 99.

=====

A plane-wave DFT calculation with GGA-PBE was carried out for ErMgTlCu after structural relaxation.

Unit cell a=4.9476 b=4.9476 c=4.9476 alpha=60.00 beta=60.00 gamma=60.00
With the nearest neighbours (Å) after each atom.
Atoms (fractional coordinates):
Tl1 0.7500 0.7500 0.7500  4 Mg 3.03, 4 Er 3.03
Mg1 0.5000 0.5000 0.5000  4 Tl 3.03, 4 Cu 3.03
Cu1 0.2500 0.2500 0.2500  4 Er 3.03, 4 Mg 3.03
Er1 0.0000 0.0000 0.0000  4 Cu 3.03, 4 Tl 3.03

## Properties
As for the size of the total moment: 0.000 μB per formula unit. For the formation energy, the calculation gives -0.189 eV/atom. The space group is F-43m, No. 216.

=====

A plane-wave DFT calculation with GGA-PBE was carried out for ErTmMgCu after structural relaxation.

Unit cell a=5.0703 b=5.0703 c=5.0703 alpha=60.00 beta=60.00 gamma=60.00
With the nearest neighbours (Å) after each atom.
Atoms (fractional coordinates):
Mg1 0.7500 0.7500 0.7500  4 Er 3.10, 4 Tm 3.10
Tm1 0.0000 0.0000 0.0000  4 Mg 3.10, 4 Cu 3.10
Cu1 0.2500 0.2500 0.2500  4 Tm 3.10, 4 Er 3.10
Er1 0.5000 0.5000 0.5000  4 Cu 3.10, 4 Mg 3.10

## Properties
As for the distance to the lowest polymorph of the same formula: 93 meV/atom. As for the size of the total moment: 0.000 μB per formula unit. For the formation energy, the calculation gives -0.068 eV/atom. The space group is F-43m, No. 216.

=====

A plane-wave DFT calculation with GGA-PBE was carried out for ErTmMgCu after structural relaxation.

Unit cell a=3.4374 b=3.4374 c=7.9971 alpha=90.00 beta=90.00 gamma=90.00
With the nearest neighbours (Å) after each atom.
Atoms (fractional coordinates):
Er1 0.5000 0.5000 0.7810  4 Cu 2.96
Tm1 0.5000 0.5000 0.3623  4 Cu 2.94
Mg1 0.0000 0.0000 0.0726  4 Tm 3.36, 4 Er 3.37, 4 Mg 3.44
Cu1 0.0000 0.0000 0.5688  4 Tm 2.94, 4 Er 2.96

## Properties
As for the distance to the lowest polymorph of the same formula: 0 meV/atom. As for the size of the total moment: 0.000 μB per formula unit. For the formation energy, the calculation gives -0.161 eV/atom. The space group is P4mm, No. 99.

=====

A plane-wave DFT calculation with GGA-PBE was carried out for YErMgCu after structural relaxation.

Unit cell a=3.4786 b=3.4786 c=7.9926 alpha=90.00 beta=90.00 gamma=90.00
With the nearest neighbours (Å) after each atom.
Atoms (fractional coordinates):
Y1 0.5000 0.5000 0.3584  4 Cu 3.03, 1 Er 3.37, 4 Mg 3.39
Er1 0.5000 0.5000 0.7804  4 Cu 2.94
Mg1 0.0000 0.0000 0.0673  4 Er 3.36, 4 Y 3.39, 4 Mg 3.48
Cu1 0.0000 0.0000 0.5787  4 Er 2.94, 4 Y 3.03

## Properties
As for the distance to the lowest polymorph of the same formula: 0 meV/atom. As for the size of the total moment: 0.000 μB per formula unit. For the formation energy, the calculation gives -0.158 eV/atom. The space group is P4mm, No. 99.

=====

A plane-wave DFT calculation with GGA-PBE was carried out for YErMgCu after structural relaxation.

Unit cell a=5.1131 b=5.1131 c=5.1131 alpha=60.00 beta=60.00 gamma=60.00
With the nearest neighbours (Å) after each atom.
Atoms (fractional coordinates):
Y1 0.5000 0.5000 0.5000  4 Cu 3.13, 4 Mg 3.13
Mg1 0.2500 0.2500 0.2500  4 Er 3.13, 4 Y 3.13
Cu1 0.7500 0.7500 0.7500  4 Er 3.13, 4 Y 3.13
Er1 0.0000 0.0000 0.0000  4 Mg 3.13, 4 Cu 3.13

## Properties
As for the distance to the lowest polymorph of the same formula: 87 meV/atom. As for the size of the total moment: 0.000 μB per formula unit. For the formation energy, the calculation gives -0.070 eV/atom. The space group is F-43m, No. 216.

=====

A plane-wave DFT calculation with GGA-PBE was carried out for ErMgZnCu after structural relaxation.

Unit cell a=4.7321 b=4.7321 c=4.7321 alpha=60.00 beta=60.00 gamma=60.00
With the nearest neighbours (Å) after each atom.
Atoms (fractional coordinates):
Zn1 0.7500 0.7500 0.7500  4 Er 2.90, 4 Mg 2.90
Mg1 0.5000 0.5000 0.5000  4 Cu 2.90, 4 Zn 2.90
Cu1 0.2500 0.2500 0.2500  4 Er 2.90, 4 Mg 2.90
Er1 0.0000 0.0000 0.0000  4 Zn 2.90, 4 Cu 2.90

## Properties
As for the size of the total moment: 0.000 μB per formula unit. For the formation energy, the calculation gives -0.274 eV/atom. The space group is F-43m, No. 216.

=====

A plane-wave DFT calculation with GGA-PBE was carried out for Er2MgZn12Cu3 after structural relaxation.

Unit cell a=8.0552 b=8.0552 c=8.0552 alpha=62.15 beta=62.15 gamma=62.15
With the nearest neighbours (Å) after each atom.
Atoms (fractional coordinates):
Er1 0.5881 0.5881 0.5881  9 Zn 2.96-3.14
Er2 0.4119 0.4119 0.4119  9 Zn 2.96-3.14
Mg1 0.0000 0.0000 0.0000  6 Zn 3.23
Zn1 0.3323 0.3323 0.8586  2 Cu 2.34, 2 Zn 2.54
Zn2 0.8314 0.8314 0.4765  1 Cu 2.44
Zn3 0.4765 0.8314 0.8314  1 Cu 2.44
Zn4 0.8586 0.3323 0.3323  2 Cu 2.34, 2 Zn 2.54
Zn5 0.8314 0.4765 0.8314  1 Cu 2.44
Zn6 0.3323 0.8586 0.3323  2 Cu 2.34, 2 Zn 2.54
Zn7 0.6677 0.6677 0.1414  2 Cu 2.34, 2 Zn 2.54
Zn8 0.1686 0.1686 0.5235  1 Cu 2.44
Zn9 0.5235 0.1686 0.1686  1 Cu 2.44
Zn10 0.1414 0.6677 0.6677  2 Cu 2.34, 2 Zn 2.54
Zn11 0.1686 0.5235 0.1686  1 Cu 2.44
Zn12 0.6677 0.1414 0.6677  2 Cu 2.34, 2 Zn 2.54
Cu1 0.5000 0.0000 0.0000  6 Zn 2.34-2.44
Cu2 0.0000 0.5000 0.0000  6 Zn 2.34-2.44
Cu3 0.0000 0.0000 0.5000  6 Zn 2.34-2.44

## Properties
As for the size of the total moment: 0.000 μB per formula unit. For the formation energy, the calculation gives 0.241 eV/atom. The space group is R-3m, No. 166.

=====

A plane-wave DFT calculation with GGA-PBE was carried out for ErMgZrCu after structural relaxation.

Unit cell a=4.9348 b=4.9348 c=4.9348 alpha=60.00 beta=60.00 gamma=60.00
With the nearest neighbours (Å) after each atom.
Atoms (fractional coordinates):
Mg1 0.7500 0.7500 0.7500  4 Zr 3.02, 4 Er 3.02
Cu1 0.2500 0.2500 0.2500  4 Zr 3.02, 4 Er 3.02
Zr1 0.5000 0.5000 0.5000  4 Cu 3.02, 4 Mg 3.02
Er1 0.0000 0.0000 0.0000  4 Mg 3.02, 4 Cu 3.02

## Properties
As for the size of the total moment: 0.921 μB per formula unit. For the formation energy, the calculation gives 0.050 eV/atom. The space group is F-43m, No. 216.

=====

no.,density (g/cm3)
1,5.6
2,6.3
3,6.4
4,7.3
5,7.1
6,8.9
7,7.6
8,7.5
9,5.9
10,6.0
11,7.1
12,5.7
13,6.8